# Hf3ZnSn, relaxed, DFT PBE-GGA
data_Hf3ZnSn
_chemical_formula_sum 'Hf3 Zn1 Sn1'
_cell_length_a 4.9025
_cell_length_b 4.9025
_cell_length_c 4.9025
_cell_angle_alpha 90.00
_cell_angle_beta 90.00
_cell_angle_gamma 90.00
_symmetry_space_group_name_H-M 'P m -3 m'
_symmetry_Int_Tables_number 221
_symmetry_space_group_name_Hall '-P 4 2 3'
loop_
_atom_site_label
_atom_site_fract_x
_atom_site_fract_y
_atom_site_fract_z
Hf1 0.0000 0.0000 0.5000
Zn1 0.0000 0.0000 0.0000
Sn1 0.5000 0.5000 0.5000
# Formation enthalpy at 0 K: 1.9 eV/f.u.
# Total moment: 0.0 μB/cell
# Offset from the most stable computed form: 274.6 meV per atom
# Calculated total energy: -6.6553 eV per atom